[1]
Here is a relaxed structure of AlSiRu2 from Alexandria. Energies are from GGA-PBE.

Cell: 7.9149 7.9149 7.9149 Å, 20.93 20.93 20.93°
Element x y z (fractional)
Ru1 0.5047 0.5047 0.5047
Ru2 0.9953 0.9953 0.9953
Al1 0.7500 0.7500 0.7500
Si1 0.2500 0.2500 0.2500

=====

[2]
Here is a relaxed structure of YCoSi from Alexandria. Energies are from GGA-PBE.

Cell: 3.9910 3.9910 3.9098 Å, 90.00 90.00 120.00°
Element x y z (fractional)
Si1 0.3333 0.6667 0.1668
Co1 0.0000 0.0000 0.1664
Y1 0.6667 0.3333 0.6668

=====

[3]
Here is a relaxed structure of Li2AsIrO6 from Alexandria. Energies are from GGA-PBE.

Cell: 4.8808 5.2222 5.2222 Å, 90.00 90.00 90.00°
Element x y z (fractional)
As1 0.5945 0.0000 0.0000
O1 0.7339 0.2503 0.7497
Li1 0.9139 0.0000 0.5000
O2 0.2377 0.5000 0.5000
Li2 0.9139 0.5000 0.0000
O3 0.2514 0.0000 0.0000
O4 0.7339 0.2503 0.2503
O5 0.7339 0.7497 0.2503
O6 0.7339 0.7497 0.7497
Ir1 0.5998 0.5000 0.5000

=====

Energy relative to the elements, uncorrected list, top to bottom, in meV per atom: -390; -637; -1046
Energy list, top to bottom, in eV for the cell shown: -29.3; -20.9; -57.5